[1]
Material: Hf6Bi3Ru
Method: DFT, PBE
State: optimized geometry

Calculated values
For the calculated total energy, the calculation gives -8.038 eV per atom.

Cell: 6.9996 7.4931 9.3159 Å, 90.00 85.90 90.00°
Fractional positions:
1 Hf 0.2283 0.0735 0.7553
2 Bi 0.0933 0.6310 0.2522
3 Hf 0.8797 0.6862 0.9618
4 Bi 0.5000 0.5000 0.0000
5 Bi 0.5933 0.8690 0.7522
6 Hf 0.7283 0.4265 0.2553
7 Hf 0.6203 0.1862 0.5382
8 Bi 0.0000 0.0000 0.5000
9 Bi 0.9067 0.3690 0.7478
10 Hf 0.6785 0.1473 0.9649
11 Hf 0.8215 0.6473 0.5351
12 Ru 0.5000 0.5000 0.5000
13 Ru 0.0000 0.0000 0.0000
14 Hf 0.3215 0.8527 0.0351
15 Hf 0.2717 0.5735 0.7447
16 Hf 0.1785 0.3527 0.4649
17 Hf 0.7717 0.9265 0.2447
18 Hf 0.1203 0.3138 0.0382
19 Bi 0.4067 0.1310 0.2478
20 Hf 0.3797 0.8138 0.4618


[2]
Material: SiPbW2
Method: DFT, PBE
State: optimized geometry

Calculated values
The offset from the most stable computed form comes out at 0.60 eV per formula unit. For the uncorrected formation energy, the calculation gives 0.4971 eV/atom.

Cell: 3.1452 3.2245 7.5569 Å, 74.38 90.00 90.00°
Fractional positions:
1 Si 0.5000 0.7500 0.7500
2 Pb 0.5000 0.2500 0.2500
3 W 0.0000 0.3639 0.5745
4 W 0.0000 0.1361 0.9255


Here are the calculated magnetization numbers, same order: 0.00; 0.00 (μB/cell).